Record 1
{"formula": "Nb2CrMo", "functional": "PBE-GGA", "state": "optimized geometry", "lattice": [[-3.538, 3.538, 2.719], [3.538, -3.538, 2.719], [3.538, 3.538, -2.719]], "species": ["Nb", "Nb", "Nb", "Nb", "Cr", "Cr", "Mo", "Mo"], "frac_coords": [[0.109, 0.625, 0.984], [0.375, 0.359, 0.484], [0.641, 0.125, 0.016], [0.875, 0.891, 0.516], [0.000, 0.000, 0.000], [0.750, 0.250, 0.500], [0.250, 0.750, 0.500], [0.500, 0.500, 0.000]], "e_tot_ha_per_atom": -0.3480, "formation_energy_ev_per_atom": 0.679}



Record 2
{"formula": "Nb2CrMo", "functional": "PBE-GGA", "state": "optimized geometry", "lattice": [[-1.491, 2.216, 5.186], [1.491, -2.216, 5.186], [1.491, 2.216, -5.186]], "species": ["Nb", "Nb", "Cr", "Mo"], "frac_coords": [[0.239, 0.239, 0.000], [0.761, 0.761, 0.000], [0.000, 0.000, 0.000], [0.500, 0.500, 0.000]], "e_tot_ha_per_atom": -0.3448, "formation_energy_ev_per_atom": 0.765}



Record 3
{"formula": "NbCrMo", "functional": "PBE-GGA", "state": "optimized geometry", "lattice": [[3.113, 0.000, 0.000], [0.000, 3.113, 0.000], [0.000, 0.000, 9.484]], "species": ["Nb", "Nb", "Cr", "Cr", "Mo", "Mo"], "frac_coords": [[0.250, 0.250, 0.094], [0.750, 0.750, 0.906], [0.250, 0.250, 0.424], [0.750, 0.750, 0.576], [0.250, 0.250, 0.728], [0.750, 0.750, 0.272]], "e_tot_ha_per_atom": -0.3719, "relative_energy_ev_per_fu": 0.18, "formation_energy_ev_per_atom": 0.055}



Record 4
{"formula": "Nb2CrMo", "functional": "PBE-GGA", "state": "optimized geometry", "lattice": [[-1.585, 2.256, 8.948], [1.585, -2.256, 8.948], [1.585, 2.256, -8.948]], "species": ["Nb", "Nb", "Nb", "Nb", "Cr", "Cr", "Mo", "Mo"], "frac_coords": [[0.069, 0.819, 0.250], [0.308, 0.058, 0.250], [0.692, 0.942, 0.750], [0.931, 0.181, 0.750], [0.189, 0.439, 0.750], [0.811, 0.561, 0.250], [0.438, 0.688, 0.750], [0.562, 0.312, 0.250]], "e_tot_ha_per_atom": -0.3744, "formation_energy_ev_per_atom": -0.040}



Record 5
{"formula": "Nb3Cr8Mo", "functional": "PBE-GGA", "state": "optimized geometry", "lattice": [[4.883, 0.000, 0.000], [-2.441, 4.229, 0.000], [0.000, 0.000, 8.031]], "species": ["Nb", "Nb", "Nb", "Cr", "Cr", "Cr", "Cr", "Cr", "Cr", "Cr", "Cr", "Mo"], "frac_coords": [[0.000, 0.000, 0.000], [0.000, 0.000, 0.384], [0.333, 0.667, 0.879], [0.006, 0.503, 0.191], [0.327, 0.164, 0.689], [0.497, 0.503, 0.191], [0.497, 0.994, 0.191], [0.667, 0.333, 0.441], [0.667, 0.333, 0.939], [0.836, 0.164, 0.689], [0.836, 0.673, 0.689], [0.333, 0.667, 0.496]], "e_tot_ha_per_atom": -0.3616, "formation_energy_ev_per_atom": -0.003}



Record 6
{"formula": "Nb3CrMo", "functional": "PBE-GGA", "state": "optimized geometry", "lattice": [[4.823, 0.000, 0.000], [0.000, 4.823, 0.000], [0.000, 0.000, 4.823]], "species": ["Nb", "Nb", "Nb", "Cr", "Mo"], "frac_coords": [[0.000, 0.000, 0.500], [0.000, 0.500, 0.000], [0.500, 0.000, 0.000], [0.500, 0.500, 0.500], [0.000, 0.000, 0.000]], "e_tot_ha_per_atom": -0.3206, "relative_energy_ev_per_fu": 1.71, "formation_energy_ev_per_atom": 1.409}



Record 7
{"formula": "Nb5CrMo4", "functional": "PBE-GGA", "state": "optimized geometry", "lattice": [[3.214, 0.000, 0.000], [0.000, 3.214, 0.000], [0.000, 0.000, 16.032]], "species": ["Nb", "Nb", "Nb", "Nb", "Nb", "Cr", "Mo", "Mo", "Mo", "Mo"], "frac_coords": [[0.000, 0.000, 0.000], [0.000, 0.000, 0.203], [0.000, 0.000, 0.405], [0.000, 0.000, 0.595], [0.000, 0.000, 0.797], [0.500, 0.500, 0.500], [0.500, 0.500, 0.101], [0.500, 0.500, 0.304], [0.500, 0.500, 0.696], [0.500, 0.500, 0.899]], "e_tot_ha_per_atom": -0.3830, "formation_energy_ev_per_atom": -0.092}



Record 8
{"formula": "NbCrMo3", "functional": "PBE-GGA", "state": "optimized geometry", "lattice": [[4.468, 0.000, 0.000], [0.000, 4.468, 0.000], [0.000, 0.000, 4.468]], "species": ["Nb", "Cr", "Mo", "Mo", "Mo"], "frac_coords": [[0.000, 0.000, 0.000], [0.500, 0.500, 0.500], [0.000, 0.500, 0.500], [0.500, 0.000, 0.500], [0.500, 0.500, 0.000]], "e_tot_ha_per_atom": -0.3450, "relative_energy_ev_per_fu": 0.00, "formation_energy_ev_per_atom": 1.050}



> What is the formula in the third record?

NbCrMo